[1]
Computed, not measured: a relaxed ScOsW2 crystal at the PBE level of DFT.

Values from the calculation:
spin magnetization	0.0	μB/f.u.
energy of formation from the pure elements	-1	kJ/mol of formula units
space group	P4mm, No. 99

Cell and atoms, written as POSCAR:
```
ScOsW2
1.0
3.179 0.000 0.000
0.000 3.179 0.000
0.000 0.000 6.549
Os W Sc
1 2 1
direct
0.000 0.000 0.485
0.500 0.500 0.251
0.000 0.000 0.017
0.500 0.500 0.748
```

=====

[2]
Computed, not measured: a relaxed Sc2OsW crystal at the PBE level of DFT.

Values from the calculation:
spin magnetization	0.0	μB/f.u.
energy of formation from the pure elements	8	kJ/mol of formula units
space group	Pm, No. 6

Cell and atoms, written as POSCAR:
```
Sc2OsW
1.0
4.422 0.000 0.000
0.000 2.978 0.000
0.000 1.268 5.417
Sc Os W
2 1 1
direct
0.500 0.246 0.262
0.000 0.979 0.984
0.500 0.738 0.729
0.000 0.538 0.526
```